No. 1
Compound: V2RhAu
Source: Alexandria
Functional: PBE
Structure: optimized geometry

It has space group P4/mmm (No. 123), with a = 2.724 Å, b = 2.724 Å, c = 7.897 Å, α = 90.00°, β = 90.00° and γ = 90.00°. The distinct sites, in fractional coordinates, are V at (0.000, 0.000, 0.231), Rh at (0.500, 0.500, 0.000) and Au at (0.500, 0.500, 0.500).

As for the formation energy: -0.159 eV/atom. The calculated volume is 58.6 Å³ per cell. Its size of the total moment is 0.000 μB per formula unit.


No. 2
Compound: VRhAu
Source: Alexandria
Functional: PBE
Structure: optimized geometry

It has space group I4mm (No. 107), with a = 2.851 Å, b = 2.851 Å, c = 11.349 Å, α = 90.00°, β = 90.00° and γ = 90.00°. The distinct sites, in fractional coordinates, are V at (0.000, 0.000, 0.000), Rh at (0.000, 0.000, 0.637) and Au at (0.000, 0.000, 0.326).

As for the polymorph energy (0 for the lowest one): 0.13 eV per formula unit. As for the formation energy: -0.159 eV/atom. The calculated volume is 92.2 Å³ per cell. Its size of the total moment is 1.180 μB per formula unit.


| no. | calculated total energy (eV per atom) |
| --- | --- |
| 1 | -7.38 |
| 2 | -6.74 |